A geometry-optimized CaTh2Sb3 structure, computed with PBE.

The uncorrected formation energy is -0.9722 eV per atom. The calculation puts the total energy at -5.84 eV per atom.

The space group is P2_1/c (No. 14) and the conventional cell measures 6.391, 13.519 and 9.044 Å, with angles of 90.00, 90.00 and 90.00 degrees. Symmetry generates all atoms from Ca at (0.250, 0.082, 0.122), Th at (0.250, 0.084, 0.627), Th at (0.251, 0.748, 0.625), Sb at (0.249, 0.249, 0.375), Sb at (0.250, 0.583, 0.875) and Sb at (0.250, 0.585, 0.372).